# PBE-GGA ZrNiPdRh, optimized geometry
data_ZrNiPdRh
_chemical_formula_sum 'Zr4 Ni4 Pd4 Rh4'
_cell_length_a 6.293
_cell_length_b 6.293
_cell_length_c 6.293
_cell_angle_alpha 90.00
_cell_angle_beta 90.00
_cell_angle_gamma 90.00
_symmetry_space_group_name_H-M 'F -4 3 m'
_symmetry_Int_Tables_number 216
_symmetry_space_group_name_Hall 'F -4 2 3'
loop_
_atom_site_label
_atom_site_type_symbol
_atom_site_fract_x
_atom_site_fract_y
_atom_site_fract_z
_atom_site_occupancy
Zr1 Zr 0.000 0.000 0.000 1
Ni1 Ni 0.250 0.250 0.250 1
Pd1 Pd 0.000 0.000 0.500 1
Rh1 Rh 0.250 0.250 0.750 1
# Total magnetization ... 0.00 μB per cell
# Energy relative to the elements ... -0.4105 eV/atom
# Total energy ... -7.1289 eV per atom
# Distance to the lowest polymorph of the same formula ... 0.217 eV/atom